Entry 1:
# NaLiH4Pt

A relaxed structure of NaLiH4Pt (PBE-GGA, Alexandria).

- Symmetry: Cmcm
- Electronic total energy: -3.575 eV/atom

a b c (Å): 6.1853 6.1853 5.1570
angles (deg): 90.00 90.00 130.82
Positions (direct):
Na: 0.0991 0.9009 0.7500
Na: 0.9009 0.0991 0.2500
Li: 0.3609 0.6391 0.7500
Li: 0.6391 0.3609 0.2500
H: 0.0000 0.5000 0.0000
H: 0.0000 0.5000 0.5000
H: 0.1008 0.8992 0.2500
H: 0.4023 0.5977 0.2500
H: 0.5000 0.0000 0.0000
H: 0.5000 0.0000 0.5000
H: 0.5977 0.4023 0.7500
H: 0.8992 0.1008 0.7500
Pt: 0.2514 0.7486 0.2500
Pt: 0.7486 0.2514 0.7500

=====

Entry 2:
# SrCo2PN

A relaxed structure of SrCo2PN (PBE-GGA, Alexandria).

- Symmetry: Cmcm
- Formation energy from raw total energies: -0.57 eV/atom

a b c (Å): 5.6593 5.6593 6.6830
angles (deg): 90.00 90.00 140.79
Positions (direct):
Sr: 0.0474 0.9526 0.7500
Sr: 0.9526 0.0474 0.2500
Co: 0.3359 0.6641 0.5543
Co: 0.3359 0.6641 0.9457
Co: 0.6641 0.3359 0.0543
Co: 0.6641 0.3359 0.4457
P: 0.2285 0.7715 0.2500
P: 0.7715 0.2285 0.7500
N: 0.5000 0.5000 0.0000
N: 0.5000 0.5000 0.5000

=====

Entry 3:
# TiTlGaO4

A relaxed structure of TiTlGaO4 (PBE-GGA, Alexandria).

- Symmetry: P2_1/m
- Formation energy from raw total energies: -1.98 eV/atom

a b c (Å): 5.4292 5.4947 7.5206
angles (deg): 90.00 90.70 90.00
Positions (direct):
Ti: 0.1653 0.2500 0.4754
Ti: 0.8347 0.7500 0.5246
Tl: 0.2513 0.7500 0.1354
Tl: 0.7487 0.2500 0.8646
Ga: 0.3534 0.7500 0.6481
Ga: 0.6466 0.2500 0.3519
O: 0.0982 0.5162 0.6446
O: 0.0982 0.9838 0.6446
O: 0.3386 0.2500 0.2486
O: 0.4965 0.2500 0.5771
O: 0.5035 0.7500 0.4229
O: 0.6614 0.7500 0.7514
O: 0.9018 0.0162 0.3554
O: 0.9018 0.4838 0.3554

=====

Entry 4:
# CaNbTcSe2

A relaxed structure of CaNbTcSe2 (PBE-GGA, Alexandria).

- Symmetry: P4/mmm
- Formation energy from raw total energies: 0.01 eV/atom

a b c (Å): 5.1551 5.1551 4.7157
angles (deg): 90.00 90.00 90.00
Positions (direct):
Ca: 0.0000 0.0000 0.0000
Nb: 0.5000 0.5000 0.5000
Tc: 0.5000 0.5000 0.0000
Se: 0.0000 0.5000 0.5000
Se: 0.5000 0.0000 0.5000

=====

Entry 5:
# Ce3Sb2Br2

A relaxed structure of Ce3Sb2Br2 (PBE-GGA, Alexandria).

- Symmetry: C2/m
- Formation energy from raw total energies: -1.18 eV/atom

a b c (Å): 14.7690 4.4277 7.5968
angles (deg): 90.00 102.13 90.00
Positions (direct):
Ce: 0.0000 0.0000 0.0000
Ce: 0.2479 0.0000 0.7606
Ce: 0.2521 0.5000 0.2394
Ce: 0.5000 0.5000 0.0000
Ce: 0.7479 0.5000 0.7606
Ce: 0.7521 0.0000 0.2394
Sb: 0.1161 0.5000 0.8540
Sb: 0.3839 0.0000 0.1460
Sb: 0.6161 0.0000 0.8540
Sb: 0.8839 0.5000 0.1460
Br: 0.1340 0.0000 0.3688
Br: 0.3660 0.5000 0.6312
Br: 0.6340 0.5000 0.3688
Br: 0.8660 0.0000 0.6312

=====

Entry 6:
# Ba2NdTl

A relaxed structure of Ba2NdTl (PBE-GGA, Alexandria).

- Symmetry: P4/mmm
- Energy above the lowest structure with this stoichiometry: 0.00 eV/f.u.
- Formation energy from the elements: -4.04 kJ/mol of atoms

a b c (Å): 4.1202 4.1202 10.0854
angles (deg): 90.00 90.00 90.00
Positions (direct):
Ba: 0.0000 0.0000 0.2174
Ba: 0.0000 0.0000 0.7826
Nd: 0.5000 0.5000 0.5000
Tl: 0.5000 0.5000 0.0000